1.
Compound: CaHOs2
Source: Alexandria via LeMat-Bulk
Functional: PBE-GGA
Structure: relaxed

Its energy above the most stable polymorph in this dataset is 0 meV/atom.

The space group is Fd-3m (No. 227, origin choice 2) and the conventional cell measures 7.8898, 7.8898 and 7.8898 Å, with angles of 90.00, 90.00 and 90.00 degrees. The asymmetric unit holds Ca at (0.1250, 0.1250, 0.1250), H at (0.1250, 0.1250, 0.6250) and Os at (0.0000, 0.0000, 0.5000).

2.
Compound: La3GeH2
Source: Alexandria via LeMat-Bulk
Functional: PBE-GGA
Structure: relaxed

The space group is Pmmn (No. 59, origin choice 2) and the conventional cell measures 5.0620, 12.8639 and 4.0514 Å, with angles of 90.00, 90.00 and 90.00 degrees. The asymmetric unit holds La at (0.2500, 0.0616, 0.2467), La at (0.2500, 0.7500, 0.7180), Ge at (0.2500, 0.2500, 0.7571) and H at (0.2500, 0.5554, 0.7439).

3.
Compound: DyMo2N4
Source: Alexandria via LeMat-Bulk
Functional: PBE-GGA
Structure: relaxed

The space group is Cmcm (No. 63) and the conventional cell measures 3.1473, 10.0290 and 10.1466 Å, with angles of 90.00, 90.00 and 90.00 degrees. The asymmetric unit holds Dy at (0.0000, 0.1263, 0.2500), Mo at (0.0000, 0.3817, 0.0641), N at (0.0000, 0.0000, 0.0000), N at (0.0000, 0.2652, 0.6086) and N at (0.0000, 0.4362, 0.2500).

4.
Compound: PuTaSn2
Source: Alexandria via LeMat-Bulk
Functional: PBE-GGA
Structure: relaxed

The value obtained for the energy relative to the elements is 0.214 eV per atom.

The space group is R-3m (No. 166, hexagonal axes) and the conventional cell measures 3.1640, 3.1640 and 33.6211 Å, with angles of 90.00, 90.00 and 120.00 degrees. The asymmetric unit holds Pu at (0.0000, 0.0000, 0.0000), Ta at (0.0000, 0.0000, 0.5000) and Sn at (0.0000, 0.0000, 0.0954).

5.
Compound: RbMgS2N
Source: Alexandria via LeMat-Bulk
Functional: PBE-GGA
Structure: relaxed

Its energy above the most stable polymorph in this dataset is 0 meV/atom.

The space group is P4/mmm (No. 123) and the conventional cell measures 5.0624, 5.0624 and 4.5526 Å, with angles of 90.00, 90.00 and 90.00 degrees. The asymmetric unit holds Rb at (0.0000, 0.0000, 0.0000), Mg at (0.5000, 0.5000, 0.5000), S at (0.0000, 0.5000, 0.5000) and N at (0.5000, 0.5000, 0.0000).

Number 1: total energy -26.24 eV per formula unit. Number 2: total energy -29.43 eV per formula unit. Number 3: total energy -64.47 eV per formula unit. Number 4: total energy -33.33 eV per formula unit. Number 5: total energy -18.10 eV per formula unit.